No. 1
Entry from Alexandria: an optimized crystal structure of SrTlFe2 (PBE).

Results
- Symmetry: Imm2
- Final energy: -4.76 eV per atom
- Formation energy: 47 kJ per mole of atoms

Lattice parameters (Å, degrees): 5.8227 5.8227 5.8227 145.63 127.82 63.99
With the nearest neighbours (Å) after each atom.
Element x y z (fractional)
Fe 0.8021 0.3021 0.5000  2 Fe 2.34
Fe 0.9622 0.9622 0.0000  2 Fe 2.34
Tl 0.2215 0.7215 0.5000  6 Fe 3.08-3.19, 4 Sr 3.28-3.36, 2 Tl 3.44
Sr 0.5142 0.5142 0.0000  8 Fe 3.13-3.32, 4 Tl 3.28-3.36, 2 Sr 3.44


No. 2
Entry from Alexandria: an optimized crystal structure of SrTlFe2 (PBE).

Results
- Symmetry: R3m
- Final energy: -4.97 eV per atom
- Formation energy: 27 kJ per mole of atoms

Lattice parameters (Å, degrees): 4.0955 4.0955 6.6857 72.18 72.18 60.00
With the nearest neighbours (Å) after each atom.
Element x y z (fractional)
Fe 0.0311 0.0311 0.9067  3 Fe 2.36
Fe 0.6979 0.6979 0.9064  3 Fe 2.36
Tl 0.2871 0.2871 0.1388  6 Fe 2.77-2.78
Sr 0.4839 0.4839 0.5481  6 Fe 3.26, 3 Tl 3.48-3.49


No. 3
Entry from Alexandria: an optimized crystal structure of SrTlFe (PBE).

Results
- Symmetry: F-43m
- Final energy: -3.66 eV per atom
- Formation energy: 49 kJ per mole of atoms

Lattice parameters (Å, degrees): 4.9657 4.9657 4.9657 60.00 60.00 60.00
With the nearest neighbours (Å) after each atom.
Element x y z (fractional)
Sr 0.0000 0.0000 0.0000  4 Fe 3.04
Fe 0.7500 0.7500 0.7500  4 Sr 3.04, 4 Tl 3.04
Tl 0.5000 0.5000 0.5000  4 Fe 3.04


No. 4
Entry from Alexandria: an optimized crystal structure of SrTlFe2 (PBE).

Results
- Symmetry: C2/m
- Final energy: -4.85 eV per atom
- Formation energy: 38 kJ per mole of atoms

Lattice parameters (Å, degrees): 4.8210 4.8210 6.0897 66.31 66.31 50.89
With the nearest neighbours (Å) after each atom.
Element x y z (fractional)
Tl 0.2500 0.2500 0.2500  6 Fe 2.69-2.70
Fe 0.5330 0.5330 0.3223  2 Fe 2.42, 3 Tl 2.69-2.70
Fe 0.9670 0.9670 0.1777  2 Fe 2.42, 3 Tl 2.69-2.70
Sr 0.7500 0.7500 0.7500  6 Fe 3.14-3.38


No. 5
Entry from Alexandria: an optimized crystal structure of SrTl3Fe (PBE).

Results
- Symmetry: Pm-3m
- Final energy: -3.40 eV per atom
- Excess energy over the best structure of this formula in the dataset: 0 meV/atom
- Formation energy: 4 kJ per mole of atoms

Lattice parameters (Å, degrees): 5.2129 5.2129 5.2129 90.00 90.00 90.00
With the nearest neighbours (Å) after each atom.
Element x y z (fractional)
Fe 0.0000 0.0000 0.0000  6 Tl 2.61
Tl 0.0000 0.0000 0.5000  2 Fe 2.61
Tl 0.0000 0.5000 0.0000  2 Fe 2.61
Tl 0.5000 0.0000 0.0000  2 Fe 2.61
Sr 0.5000 0.5000 0.5000  12 Tl 3.69


No. 6
Entry from Alexandria: an optimized crystal structure of SrTlFe (PBE).

Results
- Symmetry: P-6m2
- Final energy: -3.89 eV per atom
- Formation energy: 27 kJ per mole of atoms

Lattice parameters (Å, degrees): 4.7291 4.7291 4.2714 90.00 90.00 120.00
With the nearest neighbours (Å) after each atom.
Element x y z (fractional)
Tl 0.3333 0.6667 0.8333  3 Fe 2.73
Fe 0.0000 0.0000 0.8333  3 Tl 2.73
Sr 0.6667 0.3333 0.3334  6 Tl 3.47, 6 Fe 3.47